(1)
Pr2Te3: relaxed, PBE. Values from VASP.

Geometry as Quantum ESPRESSO input:
```
&SYSTEM
  ibrav = 0, nat = 20, ntyp = 2
/
ATOMIC_SPECIES
Pr 140.91 Pr.upf
Te 127.60 Te.upf
ATOMIC_POSITIONS crystal
Pr 0.8038 0.2500 0.0018
Pr 0.4841 0.2500 0.1874
Pr 0.9841 0.2500 0.3126
Pr 0.3038 0.2500 0.4982
Pr 0.6962 0.7500 0.5018
Pr 0.0159 0.7500 0.6874
Pr 0.5159 0.7500 0.8126
Pr 0.1962 0.7500 0.9982
Te 0.6201 0.7500 0.0570
Te 0.9578 0.7500 0.1228
Te 0.2262 0.2500 0.1992
Te 0.7262 0.2500 0.3008
Te 0.4578 0.7500 0.3772
Te 0.1201 0.7500 0.4430
Te 0.8799 0.2500 0.5570
Te 0.5422 0.2500 0.6228
Te 0.2738 0.7500 0.6992
Te 0.7738 0.7500 0.8008
Te 0.0422 0.2500 0.8772
Te 0.3799 0.2500 0.9430
CELL_PARAMETERS angstrom
12.4445 0.0000 0.0000
0.0000 4.4692 0.0000
0.0000 0.0000 12.0542
```

Results
electronic total energy: -105.460 eV per cell
total magnetic moment: 0.00 μB per formula unit
SG: No. 62

***

(2)
ZrTc2Ge2: relaxed, PBE. Values from VASP.

Geometry as Quantum ESPRESSO input:
```
&SYSTEM
  ibrav = 0, nat = 10, ntyp = 3
/
ATOMIC_SPECIES
Ge 72.64 Ge.upf
Tc 98.00 Tc.upf
Zr 91.22 Zr.upf
ATOMIC_POSITIONS crystal
Ge 0.3568 0.1432 0.0000
Ge 0.8568 0.3568 0.0000
Ge 0.1432 0.6432 0.0000
Ge 0.6432 0.8568 0.0000
Tc 0.6497 0.1497 0.5000
Tc 0.1497 0.3503 0.5000
Tc 0.8503 0.6497 0.5000
Tc 0.3503 0.8503 0.5000
Zr 0.0000 0.0000 0.0000
Zr 0.5000 0.5000 0.0000
CELL_PARAMETERS angstrom
-5.4072 -4.6337 1.3255
2.4432 -4.3525 -5.2490
1.7573 -1.4683 2.0355
```

Results
energy above the most stable polymorph in this dataset: 0.0000 eV/atom
total magnetic moment: 0.01 μB per formula unit
SG: No. 127

***

(3)
SrErTe3Au: relaxed, PBE. Values from VASP.

Geometry as Quantum ESPRESSO input:
```
&SYSTEM
  ibrav = 0, nat = 12, ntyp = 4
/
ATOMIC_SPECIES
Au 196.97 Au.upf
Er 167.26 Er.upf
Sr 87.62 Sr.upf
Te 127.60 Te.upf
ATOMIC_POSITIONS crystal
Au 0.9078 0.7500 0.4033
Au 0.0922 0.2500 0.5967
Er 0.6878 0.2500 0.1681
Er 0.3122 0.7500 0.8319
Sr 0.2330 0.2500 0.2908
Sr 0.7670 0.7500 0.7092
Te 0.4227 0.7500 0.1381
Te 0.9347 0.7500 0.1468
Te 0.7130 0.2500 0.4602
Te 0.2870 0.7500 0.5398
Te 0.0653 0.2500 0.8532
Te 0.5773 0.2500 0.8619
CELL_PARAMETERS angstrom
8.4227 0.0000 0.0000
0.0000 4.3170 0.0000
-2.9034 0.0000 10.1163
```

Results
electronic total energy: -52.012 eV per cell
total magnetic moment: 0.00 μB per formula unit
SG: No. 11

***

(4)
Er4SiI5: relaxed, PBE. Values from VASP.

Geometry as Quantum ESPRESSO input:
```
&SYSTEM
  ibrav = 0, nat = 10, ntyp = 3
/
ATOMIC_SPECIES
Er 167.26 Er.upf
I 126.90 I.upf
Si 28.09 Si.upf
ATOMIC_POSITIONS crystal
Er 0.6441 0.6441 0.0726
Er 0.9998 0.9998 0.2078
Er 0.0002 0.0002 0.7922
Er 0.3559 0.3559 0.9274
I 0.8280 0.8280 0.1699
I 0.1660 0.1660 0.3353
I 0.5000 0.5000 0.5000
I 0.8340 0.8340 0.6647
I 0.1720 0.1720 0.8301
Si 0.5000 0.5000 0.0000
CELL_PARAMETERS angstrom
9.4822 -2.0785 0.0000
9.4822 2.0785 0.0000
-1.8948 0.0000 8.4923
```

Results
electronic total energy: -42.650 eV per cell
total magnetic moment: 0.01 μB per formula unit
SG: No. 12

***

(5)
InGeAuSe3: relaxed, PBE. Values from VASP.

Geometry as Quantum ESPRESSO input:
```
&SYSTEM
  ibrav = 0, nat = 12, ntyp = 4
/
ATOMIC_SPECIES
Au 196.97 Au.upf
Ge 72.64 Ge.upf
In 114.82 In.upf
Se 78.96 Se.upf
ATOMIC_POSITIONS crystal
Au 0.1676 0.8324 0.2500
Au 0.8324 0.1676 0.7500
Ge 0.8126 0.1874 0.2500
Ge 0.1874 0.8126 0.7500
In 0.5000 0.5000 0.0000
In 0.5000 0.5000 0.5000
Se 0.1358 0.8642 0.0209
Se 0.4391 0.5609 0.2500
Se 0.1358 0.8642 0.4791
Se 0.8642 0.1358 0.5209
Se 0.5609 0.4391 0.7500
Se 0.8642 0.1358 0.9791
CELL_PARAMETERS angstrom
-6.9784 0.7665 2.0332
5.2446 -4.2802 -2.7556
2.5112 -3.2641 9.8496
```

Results
energy above the most stable polymorph in this dataset: 0.0000 eV/atom
SG: No. 63

***

(6)
HfTcTe2: relaxed, PBE. Values from VASP.

Geometry as Quantum ESPRESSO input:
```
&SYSTEM
  ibrav = 0, nat = 4, ntyp = 3
/
ATOMIC_SPECIES
Hf 178.49 Hf.upf
Tc 98.00 Tc.upf
Te 127.60 Te.upf
ATOMIC_POSITIONS crystal
Hf 0.0000 0.0000 0.0000
Tc 0.2500 0.2500 0.2500
Te 0.5000 0.5000 0.5000
Te 0.7500 0.7500 0.7500
CELL_PARAMETERS angstrom
0.1533 2.9542 3.9685
-4.1669 2.0299 1.7366
-1.8951 -1.5391 4.3057
```

Results
electronic total energy: -24.902 eV per cell
total magnetic moment: 1.19 μB per formula unit
SG: No. 216

***

(7)
CsMgFeTe3: relaxed, PBE. Values from VASP.

Geometry as Quantum ESPRESSO input:
```
&SYSTEM
  ibrav = 0, nat = 12, ntyp = 4
/
ATOMIC_SPECIES
Cs 132.91 Cs.upf
Fe 55.84 Fe.upf
Mg 24.30 Mg.upf
Te 127.60 Te.upf
ATOMIC_POSITIONS crystal
Cs 0.7506 0.2494 0.2500
Cs 0.2494 0.7506 0.7500
Fe 0.0000 0.0000 0.0000
Fe 0.0000 0.0000 0.5000
Mg 0.4665 0.5335 0.2500
Mg 0.5335 0.4665 0.7500
Te 0.3921 0.6079 0.0326
Te 0.0664 0.9336 0.2500
Te 0.3921 0.6079 0.4674
Te 0.6079 0.3921 0.5326
Te 0.9336 0.0664 0.7500
Te 0.6079 0.3921 0.9674
CELL_PARAMETERS angstrom
-4.8177 2.2175 -7.2703
1.0031 -3.7432 8.1220
-2.7660 9.5682 4.7512
```

Results
energy above the most stable polymorph in this dataset: 0.0667 eV/atom
total magnetic moment: 3.74 μB per formula unit
SG: No. 63

***

(8)
LiUAu: relaxed, PBE. Values from VASP.

Geometry as Quantum ESPRESSO input:
```
&SYSTEM
  ibrav = 0, nat = 3, ntyp = 3
/
ATOMIC_SPECIES
Au 196.97 Au.upf
Li 6.94 Li.upf
U 238.03 U.upf
ATOMIC_POSITIONS crystal
Au 0.2500 0.2500 0.2500
Li 0.7500 0.7500 0.7500
U 0.0000 0.0000 0.0000
CELL_PARAMETERS angstrom
-3.2091 -3.4895 0.5493
-4.1309 0.8848 2.2204
-4.0733 0.0911 -2.4853
```

Results
energy above the most stable polymorph in this dataset: 0.2127 eV/atom
total magnetic moment: 3.74 μB per formula unit
SG: No. 216

***

(9)
Ho3ErIn2N2: relaxed, PBE. Values from VASP.

Geometry as Quantum ESPRESSO input:
```
&SYSTEM
  ibrav = 0, nat = 8, ntyp = 4
/
ATOMIC_SPECIES
Er 167.26 Er.upf
Ho 164.93 Ho.upf
In 114.82 In.upf
N 14.01 N.upf
ATOMIC_POSITIONS crystal
Er 0.0000 0.0000 0.0840
Ho 0.0000 0.0000 0.4155
Ho 0.6667 0.3333 0.5841
Ho 0.6667 0.3333 0.9161
In 0.6667 0.3333 0.2494
In 0.0000 0.0000 0.7502
N 0.3333 0.6667 0.0010
N 0.3333 0.6667 0.4998
CELL_PARAMETERS angstrom
-1.2989 -1.3189 2.9639
2.7203 -1.5461 -1.5559
9.8531 8.9727 8.3110
```

Results
electronic total energy: -48.816 eV per cell
total magnetic moment: 0.01 μB per formula unit
SG: No. 156

***

(10)
Pr3Sb2S: relaxed, PBE. Values from VASP.

Geometry as Quantum ESPRESSO input:
```
&SYSTEM
  ibrav = 0, nat = 6, ntyp = 3
/
ATOMIC_SPECIES
Pr 140.91 Pr.upf
S 32.06 S.upf
Sb 121.76 Sb.upf
ATOMIC_POSITIONS crystal
Pr 0.0000 0.0000 0.0000
Pr 0.3333 0.6667 0.3526
Pr 0.6667 0.3333 0.6474
S 0.0000 0.0000 0.5000
Sb 0.6667 0.3333 0.1772
Sb 0.3333 0.6667 0.8228
CELL_PARAMETERS angstrom
4.4162 0.0000 0.0000
-2.2081 3.8246 0.0000
0.0000 0.0000 10.7916
```

Results
electronic total energy: -35.350 eV per cell
total magnetic moment: 0.00 μB per formula unit
SG: No. 164

***

(11)
Li2Zn2Sn2IrPd: relaxed, PBE. Values from VASP.

Geometry as Quantum ESPRESSO input:
```
&SYSTEM
  ibrav = 0, nat = 8, ntyp = 5
/
ATOMIC_SPECIES
Ir 192.22 Ir.upf
Li 6.94 Li.upf
Pd 106.42 Pd.upf
Sn 118.71 Sn.upf
Zn 65.41 Zn.upf
ATOMIC_POSITIONS crystal
Ir 0.0000 0.0000 0.0000
Li 0.5000 0.5000 0.0000
Li 0.0000 0.0000 0.5000
Pd 0.5000 0.5000 0.5000
Sn 0.0000 0.5000 0.2463
Sn 0.5000 0.0000 0.7537
Zn 0.5000 0.0000 0.2450
Zn 0.0000 0.5000 0.7550
CELL_PARAMETERS angstrom
-4.3630 -0.5666 0.8735
0.1569 -4.0780 -1.8615
1.4561 -2.5184 5.6399
```

Results
electronic total energy: -31.660 eV per cell
total magnetic moment: 0.00 μB per formula unit
SG: No. 115

***

(12)
Nd6Co2Hg: relaxed, PBE. Values from VASP.

Geometry as Quantum ESPRESSO input:
```
&SYSTEM
  ibrav = 0, nat = 18, ntyp = 3
/
ATOMIC_SPECIES
Co 58.93 Co.upf
Hg 200.59 Hg.upf
Nd 144.24 Nd.upf
ATOMIC_POSITIONS crystal
Co 0.3425 0.0000 0.3425
Co 0.8884 0.3884 0.5000
Co 0.1116 0.6116 0.5000
Co 0.6575 0.0000 0.6575
Hg 0.0000 0.0000 0.0000
Hg 0.5000 0.5000 0.0000
Nd 0.8191 0.2851 0.1042
Nd 0.4358 0.2327 0.2031
Nd 0.9704 0.7673 0.2031
Nd 0.3248 0.6377 0.3129
Nd 0.6752 0.9882 0.3129
Nd 0.1809 0.2851 0.4661
Nd 0.8191 0.7149 0.5339
Nd 0.3248 0.0118 0.6871
Nd 0.6752 0.3623 0.6871
Nd 0.0296 0.2327 0.7969
Nd 0.5642 0.7673 0.7969
Nd 0.1809 0.7149 0.8958
CELL_PARAMETERS angstrom
7.5929 3.1296 -2.6834
1.4183 -4.3120 7.3513
-3.2232 -5.0377 -6.2353
```

Results
formation energy from the elements: -1.52 eV per formula unit
total magnetic moment: 0.02 μB per formula unit
SG: No. 71

***

(13)
Ta8Co2C3N3: relaxed, PBE. Values from VASP.

Geometry as Quantum ESPRESSO input:
```
&SYSTEM
  ibrav = 0, nat = 16, ntyp = 4
/
ATOMIC_SPECIES
C 12.01 C.upf
Co 58.93 Co.upf
N 14.01 N.upf
Ta 180.95 Ta.upf
ATOMIC_POSITIONS crystal
C 0.0000 0.0000 0.0000
C 0.6667 0.3333 0.1144
C 0.3333 0.6667 0.8856
Co 0.3333 0.6667 0.2537
Co 0.6667 0.3333 0.7463
N 0.6667 0.3333 0.3871
N 0.0000 0.0000 0.5000
N 0.3333 0.6667 0.6129
Ta 0.3333 0.6667 0.0580
Ta 0.0000 0.0000 0.1675
Ta 0.0000 0.0000 0.3340
Ta 0.3333 0.6667 0.4422
Ta 0.6667 0.3333 0.5578
Ta 0.0000 0.0000 0.6660
Ta 0.0000 0.0000 0.8325
Ta 0.6667 0.3333 0.9420
CELL_PARAMETERS angstrom
3.1139 0.0000 0.0000
-1.5570 2.6967 0.0000
0.0000 0.0000 23.0792
```

Results
electronic total energy: -170.376 eV per cell
total magnetic moment: 0.72 μB per formula unit
SG: No. 164

***

(14)
BeNbInFe: relaxed, PBE. Values from VASP.

Geometry as Quantum ESPRESSO input:
```
&SYSTEM
  ibrav = 0, nat = 4, ntyp = 4
/
ATOMIC_SPECIES
Be 9.01 Be.upf
Fe 55.84 Fe.upf
In 114.82 In.upf
Nb 92.91 Nb.upf
ATOMIC_POSITIONS crystal
Be 0.7500 0.7500 0.7500
Fe 0.5000 0.5000 0.5000
In 0.0000 0.0000 0.0000
Nb 0.2500 0.2500 0.2500
CELL_PARAMETERS angstrom
3.6631 -2.3445 -0.3503
0.7132 -3.3497 2.7034
-0.1644 -4.0919 -1.5057
```

Results
energy above the most stable polymorph in this dataset: 0.2673 eV/atom
total magnetic moment: 0.22 μB per formula unit
SG: No. 216

***

(15)
Tb3Ge2Pb5: relaxed, PBE. Values from VASP.

Geometry as Quantum ESPRESSO input:
```
&SYSTEM
  ibrav = 0, nat = 10, ntyp = 3
/
ATOMIC_SPECIES
Ge 72.64 Ge.upf
Pb 207.20 Pb.upf
Tb 158.93 Tb.upf
ATOMIC_POSITIONS crystal
Ge 0.7820 0.2180 0.0000
Ge 0.2180 0.7820 0.0000
Pb 0.6015 0.3985 0.0000
Pb 0.3985 0.6015 0.0000
Pb 0.8995 0.1005 0.5000
Pb 0.5000 0.5000 0.5000
Pb 0.1005 0.8995 0.5000
Tb 0.0000 0.0000 0.0000
Tb 0.6964 0.3036 0.5000
Tb 0.3036 0.6964 0.5000
CELL_PARAMETERS angstrom
2.1743 -13.4022 0.0000
2.1743 13.4022 0.0000
0.0000 0.0000 4.5914
```

Results
electronic total energy: -45.452 eV per cell
total magnetic moment: 0.00 μB per formula unit
SG: No. 65

***

(16)
AlCoMoOs: relaxed, PBE. Values from VASP.

Geometry as Quantum ESPRESSO input:
```
&SYSTEM
  ibrav = 0, nat = 4, ntyp = 4
/
ATOMIC_SPECIES
Al 26.98 Al.upf
Co 58.93 Co.upf
Mo 95.94 Mo.upf
Os 190.23 Os.upf
ATOMIC_POSITIONS crystal
Al 0.0000 0.0000 0.0000
Co 0.7500 0.7500 0.7500
Mo 0.5000 0.5000 0.5000
Os 0.2500 0.2500 0.2500
CELL_PARAMETERS angstrom
-3.0683 -2.9057 -0.6594
-1.7885 -2.0131 3.3228
-4.0399 0.8678 1.1038
```

Results
energy above the most stable polymorph in this dataset: 0.0000 eV/atom
total magnetic moment: 1.88 μB per formula unit
SG: No. 216

***

(17)
CsPaAgS3: relaxed, PBE. Values from VASP.

Geometry as Quantum ESPRESSO input:
```
&SYSTEM
  ibrav = 0, nat = 12, ntyp = 4
/
ATOMIC_SPECIES
Ag 107.87 Ag.upf
Cs 132.91 Cs.upf
Pa 231.04 Pa.upf
S 32.06 S.upf
ATOMIC_POSITIONS crystal
Ag 0.0450 0.9550 0.2500
Ag 0.9550 0.0450 0.7500
Cs 0.7595 0.2405 0.2500
Cs 0.2405 0.7595 0.7500
Pa 0.5000 0.5000 0.0000
Pa 0.5000 0.5000 0.5000
S 0.1148 0.8852 0.0371
S 0.4456 0.5544 0.2500
S 0.1148 0.8852 0.4629
S 0.8852 0.1148 0.5371
S 0.5544 0.4456 0.7500
S 0.8852 0.1148 0.9629
CELL_PARAMETERS angstrom
6.1142 2.8845 4.3148
-7.4127 0.8196 -2.9500
-3.9615 -4.5870 8.6799
```

Results
electronic total energy: -66.089 eV per cell
total magnetic moment: 0.99 μB per formula unit
SG: No. 63

***

(18)
NbCdGaNi: relaxed, PBE. Values from VASP.

Geometry as Quantum ESPRESSO input:
```
&SYSTEM
  ibrav = 0, nat = 4, ntyp = 4
/
ATOMIC_SPECIES
Cd 112.41 Cd.upf
Ga 69.72 Ga.upf
Nb 92.91 Nb.upf
Ni 58.69 Ni.upf
ATOMIC_POSITIONS crystal
Cd 0.5000 0.5000 0.5000
Ga 0.0000 0.0000 0.0000
Nb 0.2500 0.2500 0.2500
Ni 0.7500 0.7500 0.7500
CELL_PARAMETERS angstrom
0.0000 3.1812 3.1812
3.1812 0.0000 3.1812
3.1812 3.1812 0.0000
```

Results
electronic total energy: -18.906 eV per cell
total magnetic moment: 0.10 μB per formula unit
SG: No. 216

***

(19)
Hf3Zr3ZnBi2: relaxed, PBE. Values from VASP.

Geometry as Quantum ESPRESSO input:
```
&SYSTEM
  ibrav = 0, nat = 9, ntyp = 4
/
ATOMIC_SPECIES
Bi 208.98 Bi.upf
Hf 178.49 Hf.upf
Zn 65.41 Zn.upf
Zr 91.22 Zr.upf
ATOMIC_POSITIONS crystal
Bi 0.6667 0.3333 0.5000
Bi 0.3333 0.6667 0.5000
Hf 0.7639 0.0000 0.5000
Hf 0.2361 0.2361 0.5000
Hf 0.0000 0.7639 0.5000
Zn 0.0000 0.0000 0.0000
Zr 0.3949 0.0000 0.0000
Zr 0.0000 0.3949 0.0000
Zr 0.6051 0.6051 0.0000
CELL_PARAMETERS angstrom
7.7395 0.0000 0.0000
-3.8697 6.7026 0.0000
0.0000 0.0000 3.8966
```

Results
energy above the most stable polymorph in this dataset: 0.0000 eV/atom
total magnetic moment: 0.01 μB per formula unit
SG: No. 189

***

(20)
Zr3FeH2: relaxed, PBE. Values from VASP.

Geometry as Quantum ESPRESSO input:
```
&SYSTEM
  ibrav = 0, nat = 12, ntyp = 3
/
ATOMIC_SPECIES
Fe 55.84 Fe.upf
H 1.01 H.upf
Zr 91.22 Zr.upf
ATOMIC_POSITIONS crystal
Fe 0.7284 0.5432 0.2500
Fe 0.2716 0.4568 0.7500
H 0.9659 0.0681 0.1232
H 0.9659 0.0681 0.3768
H 0.0341 0.9319 0.6232
H 0.0341 0.9319 0.8768
Zr 0.1403 0.7194 0.0638
Zr 0.4139 0.1723 0.2500
Zr 0.1403 0.7194 0.4362
Zr 0.8597 0.2806 0.5638
Zr 0.5861 0.8277 0.7500
Zr 0.8597 0.2806 0.9362
CELL_PARAMETERS angstrom
-3.2942 0.0000 0.0000
-1.6471 5.6702 0.0000
0.0000 0.0000 -9.1018
```

Results
electronic total energy: -85.584 eV per cell
total magnetic moment: 0.01 μB per formula unit
SG: No. 63

***

(21)
NaCdSi: relaxed, PBE. Values from VASP.

Geometry as Quantum ESPRESSO input:
```
&SYSTEM
  ibrav = 0, nat = 3, ntyp = 3
/
ATOMIC_SPECIES
Cd 112.41 Cd.upf
Na 22.99 Na.upf
Si 28.09 Si.upf
ATOMIC_POSITIONS crystal
Cd 0.2500 0.2500 0.2500
Na 0.7500 0.7500 0.7500
Si 0.0000 0.0000 0.0000
CELL_PARAMETERS angstrom
0.0000 3.2706 3.2706
3.2706 0.0000 3.2706
3.2706 3.2706 0.0000
```

Results
energy above the most stable polymorph in this dataset: 0.0000 eV/atom
SG: No. 216

***

(22)
NbAgCl3: relaxed, PBE. Values from VASP.

Geometry as Quantum ESPRESSO input:
```
&SYSTEM
  ibrav = 0, nat = 5, ntyp = 3
/
ATOMIC_SPECIES
Ag 107.87 Ag.upf
Cl 35.45 Cl.upf
Nb 92.91 Nb.upf
ATOMIC_POSITIONS crystal
Ag 0.0000 0.0000 0.0000
Cl 0.5000 0.5000 0.0000
Cl 0.5000 0.0000 0.5000
Cl 0.0000 0.5000 0.5000
Nb 0.5000 0.5000 0.5000
CELL_PARAMETERS angstrom
4.9048 0.0000 0.0000
0.0000 4.9048 0.0000
0.0000 0.0000 4.9048
```

Results
energy above the most stable polymorph in this dataset: 0.2372 eV/atom
total magnetic moment: 2.16 μB per formula unit
SG: No. 221

***

(23)
Li2ZnCd2GePt2: relaxed, PBE. Values from VASP.

Geometry as Quantum ESPRESSO input:
```
&SYSTEM
  ibrav = 0, nat = 8, ntyp = 5
/
ATOMIC_SPECIES
Cd 112.41 Cd.upf
Ge 72.64 Ge.upf
Li 6.94 Li.upf
Pt 195.08 Pt.upf
Zn 65.41 Zn.upf
ATOMIC_POSITIONS crystal
Cd 0.5000 0.5000 0.0000
Cd 0.0000 0.0000 0.5000
Ge 0.0000 0.0000 0.0000
Li 0.5000 0.0000 0.2528
Li 0.0000 0.5000 0.7472
Pt 0.0000 0.5000 0.2418
Pt 0.5000 0.0000 0.7582
Zn 0.5000 0.5000 0.5000
CELL_PARAMETERS angstrom
-3.2383 -2.2312 -2.1952
3.1089 -1.9266 -2.6281
0.5119 -4.8031 4.1267
```

Results
electronic total energy: -27.036 eV per cell
total magnetic moment: 0.00 μB per formula unit
SG: No. 115